[1]
A plane-wave DFT calculation with PBE was carried out for a geometry-optimized Cr2FeOs structure.

calculated total energy	-75.9	eV/cell
ΔE_f	1.00	eV per formula unit
ρ	11624	kg/m³
V	100.0	Å³/cell
magnetization	3.41	μB/cell
distance to the lowest polymorph of the same formula	15.76	kJ per mole of atoms

a b c (Å): 2.9047 4.2179 8.1636
angles (deg): 90.00 90.00 90.00
Space group Cmmm (No. 65)
One atom of each set of equivalent atoms:
Cr1 0.0000 0.0000 0.2389 x4
Fe1 0.0000 0.5000 0.0000 x2
Os1 0.0000 0.5000 0.5000 x2

---

[2]
A plane-wave DFT calculation with PBE was carried out for a geometry-optimized CrFe2Os structure.

calculated total energy	-74.6	eV/cell
ΔE_f	0.48	eV per formula unit
ρ	11859	kg/m³
V	99.1	Å³/cell
magnetization	10.50	μB/cell

a b c (Å): 2.9575 4.1222 8.1299
angles (deg): 90.00 90.00 90.00
Space group Imm2 (No. 44)
One atom of each set of equivalent atoms:
Cr1 0.0000 0.0000 0.0000 x2
Fe1 0.0000 0.0000 0.5121 x2
Fe2 0.0000 0.5000 0.2544 x2
Os1 0.0000 0.5000 0.7530 x2